## Lu2Co2O5 (GGA+U)

Data for a relaxed Lu2Co2O5 crystal.

Computed properties:
Final energy ... -62.0 eV/cell
Space group ... P4/mmm (123)
Size of the total moment ... 0.00 μB/cell

The structure in POSCAR format:
```
Lu2Co2O5
1.0
6.7077 0.0000 0.0000
0.0000 3.7588 0.0000
0.0000 0.0000 3.7588
O Lu Co
5 2 2
Cartesian
5.2547 0.0000 1.8794
1.4531 1.8794 0.0000
5.2547 1.8794 0.0000
1.4531 0.0000 1.8794
3.3539 1.8794 1.8794
0.0000 0.0000 0.0000
3.3539 0.0000 0.0000
5.3552 1.8794 1.8794
1.3526 1.8794 1.8794
```